i.
Below is CuH2Cl2 after structural relaxation, with properties calculated at the GGA-PBE level. Values from VASP.

Computed properties:
Space-group type = C2/c
Spin magnetization = 0.86 μB/f.u.
Fermi-level density of states = 8.12 states/eV/cell
Mass density = 2.2 Mg/m³

Cell and atoms, written as Quantum ESPRESSO input:
```
&SYSTEM
  ibrav = 0, nat = 10, ntyp = 3
/
ATOMIC_SPECIES
Cl 35.45 Cl.upf
H 1.01 H.upf
Cu 63.55 Cu.upf
CELL_PARAMETERS angstrom
3.570 -0.019 -0.643
-0.084 3.570 -0.642
-0.354 -0.357 16.564
ATOMIC_POSITIONS crystal
Cl 0.507 0.143 0.084
Cl 0.743 0.607 0.416
Cl 0.393 0.257 0.584
Cl 0.857 0.493 0.916
H 0.160 0.801 0.262
H 0.090 0.949 0.238
H 0.051 0.910 0.762
H 0.199 0.840 0.738
Cu 0.433 0.567 0.000
Cu 0.817 0.183 0.500
```

---

ii.
Below is CuH2Cl2 after structural relaxation, with properties calculated at the GGA-PBE level. Values from VASP.

Computed properties:
Space-group type = Pmna
Spin magnetization = 0.43 μB/f.u.
Fermi-level density of states = 1.74 states/eV/cell
Mass density = 2.3 Mg/m³

Cell and atoms, written as Quantum ESPRESSO input:
```
&SYSTEM
  ibrav = 0, nat = 10, ntyp = 3
/
ATOMIC_SPECIES
Cl 35.45 Cl.upf
H 1.01 H.upf
Cu 63.55 Cu.upf
CELL_PARAMETERS angstrom
-3.395 -2.432 0.152
1.908 -2.278 6.152
-3.501 5.073 2.964
ATOMIC_POSITIONS crystal
Cl 0.146 0.292 0.000
Cl 0.854 0.792 0.500
Cl 0.146 0.208 0.500
Cl 0.854 0.708 0.000
H 0.000 0.000 0.233
H 0.000 0.500 0.733
H 0.000 0.000 0.767
H 0.000 0.500 0.267
Cu 0.000 0.000 0.000
Cu 0.000 0.500 0.500
```

---

Order of stability, best first: i, ii

---

i.
Below is CuHCl4 after structural relaxation, with properties calculated at the GGA-PBE level. Values from VASP.

Computed properties:
Space-group type = C2/c
Spin magnetization = 0.00 μB/f.u.
Fermi-level density of states = 9.07 states/eV/cell
Mass density = 2.5 Mg/m³

Cell and atoms, written as Quantum ESPRESSO input:
```
&SYSTEM
  ibrav = 0, nat = 12, ntyp = 3
/
ATOMIC_SPECIES
Cl 35.45 Cl.upf
H 1.01 H.upf
Cu 63.55 Cu.upf
CELL_PARAMETERS angstrom
5.735 -1.827 0.000
-2.688 6.864 0.000
-1.523 -2.518 7.973
ATOMIC_POSITIONS crystal
Cl 0.423 0.063 0.661
Cl 0.262 0.402 0.339
Cl 0.685 0.282 0.100
Cl 0.085 0.182 0.900
Cl 0.915 0.818 0.100
Cl 0.315 0.718 0.900
Cl 0.577 0.937 0.339
Cl 0.738 0.598 0.661
H 0.588 0.338 0.675
H 0.412 0.662 0.325
Cu 0.809 0.059 0.118
Cu 0.191 0.941 0.882
```

---

ii.
Below is CuHCl4 after structural relaxation, with properties calculated at the GGA-PBE level. Values from VASP.

Computed properties:
Space-group type = P2_1/c
Spin magnetization = 0.00 μB/f.u.
Mass density = 2.2 Mg/m³

Cell and atoms, written as Quantum ESPRESSO input:
```
&SYSTEM
  ibrav = 0, nat = 12, ntyp = 3
/
ATOMIC_SPECIES
Cu 63.55 Cu.upf
Cl 35.45 Cl.upf
H 1.01 H.upf
CELL_PARAMETERS angstrom
-10.026 6.709 -0.610
14.830 -15.433 3.427
1.076 2.006 4.376
ATOMIC_POSITIONS crystal
Cu 0.500 0.500 0.500
Cu 0.000 0.500 0.000
Cl 0.959 0.273 0.372
Cl 0.988 0.816 0.250
Cl 0.488 0.816 0.250
Cl 0.459 0.273 0.128
Cl 0.012 0.184 0.750
Cl 0.512 0.184 0.750
Cl 0.041 0.727 0.628
Cl 0.541 0.727 0.872
H 0.000 0.000 0.000
H 0.500 0.000 0.500
```

---

Order of stability, best first: ii, i

---

i.
Below is CuH12N2Cl4O2 after structural relaxation, with properties calculated at the GGA-PBE level. Values from VASP.

Computed properties:
Space-group type = P4_2/mnm
Spin magnetization = 0.98 μB/f.u.
Mass density = 2.0 Mg/m³

Cell and atoms, written as Quantum ESPRESSO input:
```
&SYSTEM
  ibrav = 0, nat = 42, ntyp = 5
/
ATOMIC_SPECIES
H 1.01 H.upf
Cu 63.55 Cu.upf
N 14.01 N.upf
Cl 35.45 Cl.upf
O 16.00 O.upf
CELL_PARAMETERS angstrom
7.666 0.000 0.000
0.000 7.666 0.000
0.000 0.000 7.937
ATOMIC_POSITIONS crystal
H 0.414 0.070 0.825
H 0.914 0.430 0.325
H 0.075 0.075 0.680
H 0.425 0.575 0.180
H 0.570 0.086 0.325
H 0.070 0.414 0.825
H 0.925 0.925 0.320
H 0.086 0.570 0.675
H 0.586 0.930 0.175
H 0.575 0.425 0.820
H 0.430 0.914 0.675
H 0.414 0.070 0.175
H 0.925 0.925 0.680
H 0.070 0.414 0.175
H 0.075 0.075 0.320
H 0.930 0.586 0.175
H 0.570 0.086 0.675
H 0.914 0.430 0.675
H 0.930 0.586 0.825
H 0.586 0.930 0.825
H 0.575 0.425 0.180
H 0.430 0.914 0.325
H 0.086 0.570 0.325
H 0.425 0.575 0.820
Cu 0.000 0.000 0.000
Cu 0.500 0.500 0.500
N 0.000 0.500 0.750
N 0.500 0.000 0.250
N 0.500 0.000 0.750
N 0.000 0.500 0.250
Cl 0.211 0.211 0.500
Cl 0.789 0.789 0.500
Cl 0.288 0.712 0.500
Cl 0.212 0.212 0.000
Cl 0.289 0.711 0.000
Cl 0.711 0.289 0.000
Cl 0.788 0.788 0.000
Cl 0.712 0.288 0.500
O 0.000 0.000 0.246
O 0.000 0.000 0.754
O 0.500 0.500 0.746
O 0.500 0.500 0.254
```

---

ii.
Below is CuH12N2Cl4O2 after structural relaxation, with properties calculated at the GGA-PBE level. Values from VASP.

Computed properties:
Space-group type = P1
Spin magnetization = 1.00 μB/f.u.
Mass density = 1.9 Mg/m³

Cell and atoms, written as Quantum ESPRESSO input:
```
&SYSTEM
  ibrav = 0, nat = 42, ntyp = 5
/
ATOMIC_SPECIES
Cl 35.45 Cl.upf
O 16.00 O.upf
H 1.01 H.upf
N 14.01 N.upf
Cu 63.55 Cu.upf
CELL_PARAMETERS angstrom
-3.999 -0.373 -6.733
-0.793 -7.754 0.862
-6.794 1.074 3.943
ATOMIC_POSITIONS crystal
Cl 0.319 0.272 0.002
Cl 0.727 0.688 0.497
Cl 0.226 0.820 0.496
Cl 0.766 0.200 0.498
Cl 0.189 0.790 0.993
Cl 0.700 0.731 0.991
Cl 0.817 0.238 0.001
Cl 0.282 0.316 0.495
O 0.483 0.521 0.743
O 0.019 0.036 0.750
O 0.978 0.987 0.243
O 0.486 0.524 0.249
H 0.950 0.423 0.171
H 0.437 0.089 0.824
H 0.952 0.418 0.825
H 0.586 0.067 0.669
H 0.101 0.446 0.672
H 0.411 0.940 0.671
H 0.433 0.429 0.815
H 0.568 0.584 0.813
H 0.445 0.087 0.170
H 0.564 0.913 0.820
H 0.417 0.934 0.321
H 0.068 0.604 0.170
H 0.571 0.586 0.178
H 0.915 0.071 0.313
H 0.918 0.572 0.322
H 0.071 0.600 0.819
H 0.070 0.935 0.315
H 0.435 0.432 0.179
H 0.592 0.061 0.324
H 0.100 0.453 0.321
H 0.083 0.953 0.679
H 0.919 0.565 0.671
H 0.572 0.911 0.172
H 0.927 0.088 0.680
N 0.507 0.998 0.247
N 0.500 0.002 0.746
N 0.011 0.507 0.747
N 0.009 0.513 0.246
Cu 0.001 0.012 0.997
Cu 0.502 0.505 0.496
```

---

Order of stability, best first: ii, i

---

i.
Below is ZnCu3H6Cl2O6 after structural relaxation, with properties calculated at the GGA-PBE level. Values from VASP.

Computed properties:
Space-group type = R-3m
Spin magnetization = 0.97 μB/f.u.
Fermi-level density of states = 5.24 states/eV/cell
Mass density = 3.6 Mg/m³

Cell and atoms, written as Quantum ESPRESSO input:
```
&SYSTEM
  ibrav = 0, nat = 18, ntyp = 5
/
ATOMIC_SPECIES
O 16.00 O.upf
H 1.01 H.upf
Cu 63.55 Cu.upf
Zn 65.41 Zn.upf
Cl 35.45 Cl.upf
CELL_PARAMETERS angstrom
-0.096 2.926 5.381
-3.975 4.656 -0.209
-5.091 -1.442 3.087
ATOMIC_POSITIONS crystal
O 0.734 0.734 0.360
O 0.360 0.734 0.734
O 0.266 0.266 0.640
O 0.734 0.360 0.734
O 0.266 0.640 0.266
O 0.640 0.266 0.266
H 0.181 0.779 0.779
H 0.819 0.221 0.221
H 0.221 0.221 0.819
H 0.221 0.819 0.221
H 0.779 0.779 0.181
H 0.779 0.181 0.779
Cu 0.500 0.000 0.500
Cu 0.000 0.500 0.500
Cu 0.500 0.500 0.000
Zn 0.500 0.500 0.500
Cl 0.824 0.824 0.824
Cl 0.176 0.176 0.176
```

---

ii.
Below is ZnCu3H6Cl2O6 after structural relaxation, with properties calculated at the GGA-PBE level. Values from VASP.

Computed properties:
Space-group type = P-3m1
Spin magnetization = 3.02 μB/f.u.
Fermi-level density of states = 0.24 states/eV/cell
Mass density = 3.5 Mg/m³

Cell and atoms, written as Quantum ESPRESSO input:
```
&SYSTEM
  ibrav = 0, nat = 18, ntyp = 5
/
ATOMIC_SPECIES
Cu 63.55 Cu.upf
Cl 35.45 Cl.upf
H 1.01 H.upf
O 16.00 O.upf
Zn 65.41 Zn.upf
CELL_PARAMETERS angstrom
-4.771 3.935 1.461
2.829 -3.397 4.565
3.772 4.263 0.835
ATOMIC_POSITIONS crystal
Cu 0.500 0.500 0.500
Cu 0.000 0.500 0.500
Cu 0.500 0.000 0.500
Cl 0.333 0.667 0.118
Cl 0.667 0.333 0.882
H 0.800 0.200 0.179
H 0.200 0.401 0.821
H 0.401 0.200 0.179
H 0.200 0.800 0.821
H 0.599 0.800 0.821
H 0.800 0.599 0.179
O 0.178 0.355 0.654
O 0.822 0.178 0.346
O 0.355 0.178 0.346
O 0.822 0.645 0.346
O 0.645 0.822 0.654
O 0.178 0.822 0.654
Zn 0.000 0.000 0.500
```

---

Order of stability, best first: i, ii